1.
A relaxed BaGa2Sn3 crystal. Source: Alexandria via LeMat-Bulk, functional PBE-GGA.

Unit cell a=6.431 b=6.431 c=4.877 alpha=90.00 beta=90.00 gamma=120.00
Sites, in units of the cell vectors:
1 Sn 0.000 0.500 0.000
2 Ga 0.333 0.667 0.500
3 Sn 0.500 0.500 0.000
4 Sn 0.500 0.000 0.000
5 Ba 0.000 0.000 0.500
6 Ga 0.667 0.333 0.500

ΔE to the lowest computed polymorph (eV per atom): 0.0000
Electronic total energy (eV per atom): -3.59
ΔE_f (eV/atom): -0.25
Magnetization (Bohr magnetons per cell): 0.000

=====

2.
A relaxed RhI3O crystal. Source: Alexandria via LeMat-Bulk, functional PBE-GGA.

Unit cell a=5.041 b=5.041 c=5.041 alpha=90.00 beta=90.00 gamma=90.00
Last column: magnetic moment on the atom in μB.
Sites, in units of the cell vectors:
1 O 0.000 0.000 0.000  0.01
2 I 0.000 0.000 0.500  0.10
3 Rh 0.500 0.500 0.500  1.57
4 I 0.000 0.500 0.000  0.17
5 I 0.500 0.000 0.000  0.14

Raw formation energy (meV per atom): 932
ΔE to the lowest computed polymorph (eV per atom): 0.0871
Electronic total energy (eV per atom): -2.46
Magnetization (Bohr magnetons per cell): 2.199

=====

3.
A relaxed Np2Ga12Ir crystal. Source: Alexandria via LeMat-Bulk, functional PBE-GGA.

Unit cell a=6.044 b=6.044 c=15.606 alpha=90.00 beta=90.00 gamma=90.00
Last column: magnetic moment on the atom in μB.
Sites, in units of the cell vectors:
1 Ir 0.000 0.500 0.000  -0.10
2 Ga 0.169 0.669 0.570  -0.02
3 Ga 0.750 0.750 0.089  -0.02
4 Ga 0.331 0.169 0.570  -0.02
5 Ga 0.500 0.500 0.655  -0.02
6 Ga 0.000 0.000 0.191  -0.01
7 Ga 0.831 0.331 0.570  -0.02
8 Ga 0.250 0.250 0.911  -0.02
9 Ga 0.750 0.750 0.911  -0.02
10 Ga 0.750 0.250 0.911  -0.02
11 Ga 0.169 0.331 0.430  -0.02
12 Ga 0.831 0.669 0.430  -0.02
13 Np 0.000 0.500 0.761  3.92
14 Ga 0.250 0.750 0.911  -0.02
15 Ga 0.000 0.000 0.655  -0.02
16 Ga 0.331 0.831 0.430  -0.02
17 Ga 0.750 0.250 0.089  -0.02
18 Ga 0.000 0.000 0.809  -0.01
19 Np 0.000 0.500 0.239  3.92
20 Ga 0.669 0.831 0.570  -0.02
21 Np 0.500 0.000 0.761  3.92
22 Ga 0.250 0.250 0.089  -0.02
23 Ga 0.500 0.500 0.191  -0.01
24 Ir 0.500 0.000 0.000  -0.10
25 Ga 0.669 0.169 0.430  -0.02
26 Np 0.500 0.000 0.239  3.92
27 Ga 0.500 0.500 0.345  -0.02
28 Ga 0.500 0.500 0.809  -0.01
29 Ga 0.000 0.000 0.345  -0.02
30 Ga 0.250 0.750 0.089  -0.02

Electronic total energy (eV per atom): -4.94
ΔE_f (eV/atom): -0.20
Magnetization (Bohr magnetons per cell): 16.061

=====

4.
A relaxed LiCrCu crystal. Source: Alexandria via LeMat-Bulk, functional PBE-GGA.

Unit cell a=4.179 b=4.179 c=4.179 alpha=60.00 beta=60.00 gamma=60.00
Last column: magnetic moment on the atom in μB.
Sites, in units of the cell vectors:
1 Cr 0.500 0.500 0.500  3.67
2 Cu 0.750 0.750 0.750  0.10
3 Li 0.000 0.000 0.000  0.01

ΔE to the lowest computed polymorph (eV per atom): 0.4000
Electronic total energy (eV per atom): -4.57
ΔE_f (eV/atom): 0.65
Magnetization (Bohr magnetons per cell): 4.229

=====

5.
A relaxed Ag3Rh crystal. Source: Alexandria via LeMat-Bulk, functional PBE-GGA.

Unit cell a=4.916 b=9.474 c=5.773 alpha=90.00 beta=90.00 gamma=90.00
Sites, in units of the cell vectors:
1 Ag 0.745 0.000 0.120
2 Ag 0.915 0.250 0.869
3 Rh 0.085 0.750 0.649
4 Ag 0.085 0.750 0.131
5 Ag 0.245 0.500 0.380
6 Rh 0.585 0.750 0.851
7 Rh 0.415 0.250 0.149
8 Ag 0.755 0.500 0.620
9 Ag 0.255 0.000 0.880
10 Ag 0.245 0.000 0.380
11 Ag 0.255 0.500 0.880
12 Ag 0.745 0.500 0.120
13 Ag 0.585 0.750 0.369
14 Ag 0.755 0.000 0.620
15 Rh 0.915 0.250 0.351
16 Ag 0.415 0.250 0.631

Electronic total energy (eV per atom): -3.82
ΔE_f (eV/atom): 0.16
Magnetization (Bohr magnetons per cell): 0.000

=====

6.
A relaxed Sm2EuLu crystal. Source: Alexandria via LeMat-Bulk, functional PBE-GGA.

Unit cell a=3.842 b=5.939 c=5.939 alpha=90.00 beta=90.00 gamma=90.00
Last column: magnetic moment on the atom in μB.
Sites, in units of the cell vectors:
1 Sm 0.000 0.000 0.500  0.14
2 Lu 0.500 0.000 0.000  0.05
3 Sm 0.000 0.500 0.000  0.14
4 Eu 0.500 0.500 0.500  6.93

ΔE to the lowest computed polymorph (eV per atom): 0.0000
Electronic total energy (eV per atom): -5.92
ΔE_f (eV/atom): 0.14
Magnetization (Bohr magnetons per cell): 7.934

=====

7.
A relaxed NaTiAu2 crystal. Source: Alexandria via LeMat-Bulk, functional PBE-GGA.

Unit cell a=3.147 b=3.147 c=7.823 alpha=90.00 beta=90.00 gamma=90.00
Last column: magnetic moment on the atom in μB.
Sites, in units of the cell vectors:
1 Na 0.500 0.500 0.500  0.00
2 Au 0.000 0.000 0.214  0.02
3 Ti 0.500 0.500 0.000  0.62
4 Au 0.000 0.000 0.786  0.02

Electronic total energy (eV per atom): -4.25
ΔE_f (eV/atom): -0.31
Magnetization (Bohr magnetons per cell): 0.800

=====

8.
A relaxed YSc2Tl crystal. Source: Alexandria via LeMat-Bulk, functional PBE-GGA.

Unit cell a=5.824 b=5.824 c=5.824 alpha=133.67 beta=133.67 gamma=67.60
Last column: magnetic moment on the atom in μB.
Sites, in units of the cell vectors:
1 Tl 0.250 0.750 0.500  -0.01
2 Sc 0.000 0.000 0.000  0.36
3 Y 0.750 0.250 0.500  0.22
4 Sc 0.500 0.500 0.000  0.36

ΔE to the lowest computed polymorph (eV per atom): 0.0765
Electronic total energy (eV per atom): -5.50
ΔE_f (eV/atom): -0.12
Magnetization (Bohr magnetons per cell): 1.516

=====

9.
A relaxed Pa6BeC5 crystal. Source: Alexandria via LeMat-Bulk, functional PBE-GGA.

Unit cell a=6.086 b=6.086 c=12.418 alpha=90.00 beta=90.00 gamma=120.00
Sites, in units of the cell vectors:
1 C 0.333 0.667 0.000
2 C 0.000 0.298 0.250
3 Pa 0.654 0.654 0.882
4 Pa 0.654 0.654 0.618
5 C 0.000 0.702 0.750
6 C 0.333 0.667 0.500
7 Pa 0.654 0.000 0.118
8 Be 0.000 0.000 0.250
9 C 0.702 0.000 0.750
10 Be 0.000 0.000 0.750
11 Pa 0.654 0.000 0.382
12 Pa 0.000 0.654 0.118
13 Pa 0.346 0.346 0.382
14 C 0.298 0.298 0.750
15 Pa 0.000 0.346 0.882
16 C 0.702 0.702 0.250
17 Pa 0.000 0.346 0.618
18 C 0.298 0.000 0.250
19 C 0.667 0.333 0.000
20 Pa 0.346 0.000 0.882
21 Pa 0.346 0.346 0.118
22 Pa 0.346 0.000 0.618
23 Pa 0.000 0.654 0.382
24 C 0.667 0.333 0.500

Electronic total energy (eV per atom): -9.10
ΔE_f (eV/atom): -0.19
Magnetization (Bohr magnetons per cell): 0.000

=====

10.
A relaxed Mg2CdGa2 crystal. Source: Alexandria via LeMat-Bulk, functional PBE-GGA.

Unit cell a=4.582 b=5.685 c=9.080 alpha=90.94 beta=75.38 gamma=66.23
Sites, in units of the cell vectors:
1 Ga 0.996 0.625 0.383
2 Mg 0.693 0.298 0.316
3 Mg 0.095 0.737 0.074
4 Ga 0.657 0.801 0.885
5 Ga 0.343 0.199 0.115
6 Mg 0.307 0.702 0.684
7 Mg 0.905 0.263 0.926
8 Ga 0.004 0.375 0.617
9 Cd 0.638 0.086 0.638
10 Cd 0.362 0.914 0.362

ΔE to the lowest computed polymorph (eV per atom): 0.0233
Electronic total energy (eV per atom): -2.11
ΔE_f (eV/atom): -0.08
Magnetization (Bohr magnetons per cell): 0.000

=====

11.
A relaxed Tb2Pm2Pr4Er crystal. Source: Alexandria via LeMat-Bulk, functional PBE-GGA.

Unit cell a=5.164 b=8.163 c=8.121 alpha=107.63 beta=90.00 gamma=108.44
Sites, in units of the cell vectors:
1 Er 0.000 0.000 0.000
2 Pr 0.222 0.444 0.330
3 Pr 0.445 0.891 0.670
4 Pr 0.778 0.556 0.670
5 Pm 0.888 0.777 0.330
6 Tb 0.333 0.667 0.000
7 Tb 0.667 0.333 0.000
8 Pm 0.112 0.223 0.670
9 Pr 0.555 0.109 0.330

Electronic total energy (eV per atom): -4.70
ΔE_f (eV/atom): 0.02
Magnetization (Bohr magnetons per cell): 0.000

=====

12.
A relaxed La2YZrH crystal. Source: Alexandria via LeMat-Bulk, functional PBE-GGA.

Unit cell a=5.138 b=5.138 c=4.815 alpha=90.00 beta=90.00 gamma=90.00
Sites, in units of the cell vectors:
1 La 0.000 0.500 0.000
2 La 0.500 0.000 0.000
3 Zr 0.000 0.000 0.500
4 Y 0.500 0.500 0.500
5 H 0.000 0.000 0.000

ΔE to the lowest computed polymorph (eV per atom): 0.0033
Electronic total energy (eV per atom): -5.69
Magnetization (Bohr magnetons per cell): 0.000

=====

13.
A relaxed NaAc2Sb crystal. Source: Alexandria via LeMat-Bulk, functional PBE-GGA.

Unit cell a=4.348 b=4.348 c=12.304 alpha=79.82 beta=79.82 gamma=60.00
Sites, in units of the cell vectors:
1 Sb 0.500 0.500 0.500
2 Na 0.000 0.000 0.000
3 Ac 0.891 0.891 0.328
4 Ac 0.109 0.109 0.672

Raw formation energy (meV per atom): -276
ΔE to the lowest computed polymorph (eV per atom): 0.1613
Electronic total energy (eV per atom): -3.69
Magnetization (Bohr magnetons per cell): 0.000

=====

14.
A relaxed ScSIO2 crystal. Source: Alexandria via LeMat-Bulk, functional PBE-GGA.

Unit cell a=3.950 b=3.950 c=5.471 alpha=90.00 beta=90.00 gamma=90.00
Sites, in units of the cell vectors:
1 I 0.000 0.000 0.500
2 Sc 0.500 0.500 0.500
3 S 0.000 0.000 0.000
4 O 0.500 0.000 0.000
5 O 0.000 0.500 0.000

Raw formation energy (meV per atom): -52
Electronic total energy (eV per atom): -4.44
Magnetization (Bohr magnetons per cell): 0.000

=====

15.
A relaxed V2ReS4 crystal. Source: Alexandria via LeMat-Bulk, functional PBE-GGA.

Unit cell a=4.755 b=4.755 c=6.715 alpha=69.27 beta=69.27 gamma=90.00
Last column: magnetic moment on the atom in μB.
Sites, in units of the cell vectors:
1 V 0.388 0.388 0.223  2.13
2 S 0.202 0.202 0.597  -0.10
3 V 0.612 0.612 0.777  2.13
4 S 0.000 0.500 0.000  -0.09
5 Re 0.000 0.000 0.000  -0.79
6 S 0.500 0.000 0.000  -0.09
7 S 0.798 0.798 0.403  -0.10

Raw formation energy (meV per atom): 131
Electronic total energy (eV per atom): -6.61
Magnetization (Bohr magnetons per cell): 3.512

=====

16.
A relaxed TbTh3N4 crystal. Source: Alexandria via LeMat-Bulk, functional PBE-GGA.

Unit cell a=5.128 b=5.128 c=5.128 alpha=90.00 beta=90.00 gamma=90.00
Sites, in units of the cell vectors:
1 N 0.500 0.500 0.500
2 N 0.000 0.500 0.000
3 Th 0.000 0.500 0.500
4 N 0.000 0.000 0.500
5 Th 0.500 0.500 0.000
6 N 0.500 0.000 0.000
7 Th 0.500 0.000 0.500
8 Tb 0.000 0.000 0.000

Raw formation energy (meV per atom): -1585
Electronic total energy (eV per atom): -9.11
Magnetization (Bohr magnetons per cell): 0.000

=====

17.
A relaxed Pr6Ag2Pt crystal. Source: Alexandria via LeMat-Bulk, functional PBE-GGA.

Unit cell a=6.528 b=8.069 c=10.701 alpha=90.00 beta=91.79 gamma=90.00
Sites, in units of the cell vectors:
1 Pr 0.651 0.164 0.947
2 Pr 0.143 0.041 0.757
3 Pr 0.151 0.336 0.447
4 Pr 0.148 0.297 0.059
5 Pr 0.352 0.797 0.441
6 Pt 0.000 0.000 0.500
7 Ag 0.086 0.609 0.231
8 Pr 0.852 0.703 0.941
9 Pr 0.349 0.836 0.053
10 Pr 0.849 0.664 0.553
11 Ag 0.414 0.109 0.269
12 Ag 0.914 0.391 0.769
13 Pr 0.648 0.203 0.559
14 Pr 0.643 0.459 0.257
15 Pr 0.357 0.541 0.743
16 Pt 0.500 0.500 0.000
17 Ag 0.586 0.891 0.731
18 Pr 0.857 0.959 0.243

ΔE to the lowest computed polymorph (eV per atom): 0.0115
Electronic total energy (eV per atom): -4.77
ΔE_f (eV/atom): -0.28
Magnetization (Bohr magnetons per cell): 0.000

=====

18.
A relaxed VAu3Se crystal. Source: Alexandria via LeMat-Bulk, functional PBE-GGA.

Unit cell a=4.934 b=4.934 c=4.934 alpha=90.00 beta=90.00 gamma=90.00
Last column: magnetic moment on the atom in μB.
Sites, in units of the cell vectors:
1 Au 0.000 0.500 0.000  0.05
2 Se 0.500 0.500 0.500  0.08
3 Au 0.500 0.000 0.000  0.05
4 Au 0.000 0.000 0.500  0.05
5 V 0.000 0.000 0.000  1.94

Raw formation energy (meV per atom): 1030
ΔE to the lowest computed polymorph (eV per atom): 0.1384
Electronic total energy (eV per atom): -3.46
Magnetization (Bohr magnetons per cell): 2.382

=====

19.
A relaxed LiAlP crystal. Source: Alexandria via LeMat-Bulk, functional PBE-GGA.

Unit cell a=6.235 b=6.039 c=3.000 alpha=79.50 beta=72.26 gamma=28.24
Sites, in units of the cell vectors:
1 Al 0.020 0.020 0.980
2 P 0.660 0.660 0.340
3 Li 0.320 0.320 0.680

Electronic total energy (eV per atom): -3.80
ΔE_f (eV/atom): -0.11
Magnetization (Bohr magnetons per cell): 0.000

=====

20.
A relaxed Hf6Ga5Pd crystal. Source: Alexandria via LeMat-Bulk, functional PBE-GGA.

Unit cell a=4.272 b=9.067 c=7.873 alpha=54.85 beta=74.27 gamma=61.91
Sites, in units of the cell vectors:
1 Hf 0.749 0.083 0.336
2 Ga 0.500 0.841 0.318
3 Ga 0.500 0.500 0.000
4 Ga 0.000 0.333 0.334
5 Pd 0.000 0.000 0.000
6 Hf 0.245 0.255 0.000
7 Ga 0.000 0.667 0.666
8 Hf 0.251 0.581 0.336
9 Ga 0.500 0.159 0.682
10 Hf 0.755 0.745 0.000
11 Hf 0.251 0.917 0.664
12 Hf 0.749 0.419 0.664

Electronic total energy (eV per atom): -7.11
ΔE_f (eV/atom): -0.44
Magnetization (Bohr magnetons per cell): 0.000

=====

21.
A relaxed SrErTm4Se8 crystal. Source: Alexandria via LeMat-Bulk, functional PBE-GGA.

Unit cell a=8.438 b=8.438 c=8.447 alpha=60.04 beta=60.04 gamma=60.00
Sites, in units of the cell vectors:
1 Se 0.236 0.236 0.293
2 Se 0.757 0.228 0.259
3 Tm 0.494 0.002 0.502
4 Tm 0.002 0.494 0.502
5 Se 0.237 0.237 0.735
6 Se 0.228 0.757 0.259
7 Sr 0.375 0.375 0.876
8 Se 0.237 0.792 0.735
9 Se 0.757 0.757 0.259
10 Er 0.002 0.002 0.994
11 Tm 0.002 0.002 0.502
12 Se 0.758 0.758 0.727
13 Se 0.792 0.237 0.735
14 Tm 0.625 0.625 0.125

Raw formation energy (meV per atom): -1766
Electronic total energy (eV per atom): -5.48
Magnetization (Bohr magnetons per cell): 0.000